Density functional theory data (SCAN) for a PBEsol-optimized structure of Co2AsPt.

* energy of formation from the pure elements: 0.026 eV per atom
* V: 49.0 Å³/cell

Cell lengths 3.731, 3.731, 3.522 Å; angles 90.00, 90.00, 90.00 degrees
Fractional positions:
Co 0.000 0.500 0.000
Co 0.500 0.000 0.000
As 0.000 0.000 0.500
Pt 0.500 0.500 0.500